# 1
Material: DyY6Er12
Method: DFT, PBE
State: relaxed

Computed properties:
**Distance to the lowest polymorph of the same formula**: 0.00 eV per formula unit
**Total magnetization**: 0.000 μB/atom
**Calculated formation energy**: 44.5 kJ per mole of atoms

a b c (Å): 9.338 9.338 9.338
angles (deg): 108.57 108.57 108.57
Sites, in units of the cell vectors:
Dy 0.000 0.000 0.000
Y 0.253 0.675 0.675
Y 0.325 0.325 0.747
Y 0.325 0.747 0.325
Y 0.675 0.253 0.675
Y 0.675 0.675 0.253
Y 0.747 0.325 0.325
Er 0.108 0.500 0.892
Er 0.108 0.892 0.500
Er 0.145 0.357 0.357
Er 0.357 0.145 0.357
Er 0.357 0.357 0.145
Er 0.500 0.108 0.892
Er 0.500 0.892 0.108
Er 0.643 0.643 0.855
Er 0.643 0.855 0.643
Er 0.855 0.643 0.643
Er 0.892 0.108 0.500
Er 0.892 0.500 0.108

---

# 2
Material: Ge2Pd12Pb5
Method: DFT, PBE
State: relaxed

Computed properties:
**Total magnetization**: 0.000 μB/atom
**Calculated formation energy**: -23.2 kJ per mole of atoms

a b c (Å): 7.816 7.816 7.309
angles (deg): 101.96 101.96 56.56
Sites, in units of the cell vectors:
Ge 0.205 0.795 0.000
Ge 0.795 0.205 0.000
Pd 0.027 0.027 0.737
Pd 0.123 0.527 0.309
Pd 0.192 0.564 0.723
Pd 0.431 0.431 0.102
Pd 0.436 0.808 0.277
Pd 0.473 0.877 0.691
Pd 0.527 0.123 0.309
Pd 0.564 0.192 0.723
Pd 0.569 0.569 0.898
Pd 0.808 0.436 0.277
Pd 0.877 0.473 0.691
Pd 0.973 0.973 0.263
Pb 0.185 0.185 0.470
Pb 0.227 0.227 0.964
Pb 0.500 0.500 0.500
Pb 0.773 0.773 0.036
Pb 0.815 0.815 0.530

---

# 3
Material: CaDy2Tl6
Method: DFT, PBE
State: relaxed

Computed properties:
**Total magnetization**: 0.000 μB/atom
**Calculated formation energy**: -11.6 kJ per mole of atoms

a b c (Å): 8.656 8.656 4.473
angles (deg): 91.18 91.18 51.91
Sites, in units of the cell vectors:
Ca 0.000 0.000 0.000
Dy 0.205 0.205 0.508
Dy 0.795 0.795 0.492
Tl 0.145 0.549 0.993
Tl 0.306 0.694 0.500
Tl 0.451 0.855 0.007
Tl 0.549 0.145 0.993
Tl 0.694 0.306 0.500
Tl 0.855 0.451 0.007

---

# 4
Material: Ce2MnCu3Ni12
Method: DFT, PBE
State: relaxed

Computed properties:
**Total magnetization**: 0.218 μB/atom
**Calculated formation energy**: 20.8 kJ per mole of atoms

a b c (Å): 8.909 8.909 8.909
angles (deg): 39.71 39.71 39.71
Sites, in units of the cell vectors:
Ce 0.155 0.155 0.155
Ce 0.845 0.845 0.845
Mn 0.500 0.500 0.500
Cu 0.000 0.500 0.500
Cu 0.500 0.000 0.500
Cu 0.500 0.500 0.000
Ni 0.077 0.077 0.691
Ni 0.077 0.691 0.077
Ni 0.139 0.578 0.578
Ni 0.309 0.923 0.923
Ni 0.422 0.422 0.861
Ni 0.422 0.861 0.422
Ni 0.578 0.139 0.578
Ni 0.578 0.578 0.139
Ni 0.691 0.077 0.077
Ni 0.861 0.422 0.422
Ni 0.923 0.309 0.923
Ni 0.923 0.923 0.309

---

# 5
Material: CdHS2
Method: DFT, PBE
State: relaxed

Computed properties:
**Distance to the lowest polymorph of the same formula**: 1.12 eV per formula unit
**Total magnetization**: 0.000 μB/atom

a b c (Å): 5.991 5.991 5.991
angles (deg): 125.79 125.79 80.23
Sites, in units of the cell vectors:
Cd 0.000 0.000 0.000
Cd 0.750 0.250 0.500
H 0.250 0.750 0.500
H 0.500 0.500 0.000
S 0.213 0.625 0.088
S 0.375 0.463 0.588
S 0.537 0.125 0.912
S 0.875 0.787 0.412

---

# 6
Material: Li3Ag4Sn4
Method: DFT, PBE
State: relaxed

Computed properties:
**Total magnetization**: 0.000 μB/atom
**Calculated formation energy**: -17.2 kJ per mole of atoms

a b c (Å): 3.237 4.655 14.807
angles (deg): 81.16 86.73 89.88
Sites, in units of the cell vectors:
Li 0.000 0.000 0.000
Li 0.191 0.650 0.702
Li 0.809 0.350 0.298
Ag 0.158 0.092 0.817
Ag 0.262 0.267 0.465
Ag 0.738 0.733 0.535
Ag 0.842 0.908 0.183
Sn 0.288 0.822 0.354
Sn 0.429 0.447 0.104
Sn 0.571 0.553 0.896
Sn 0.712 0.178 0.646

---

# 7
Material: CuB3Pt9
Method: DFT, PBE
State: relaxed

Computed properties:
**Total magnetization**: 0.000 μB/atom
**Calculated formation energy**: -5.8 kJ per mole of atoms

a b c (Å): 4.578 5.513 8.624
angles (deg): 108.28 104.65 90.05
Sites, in units of the cell vectors:
Cu 0.000 0.000 0.000
B 0.185 0.514 0.535
B 0.186 0.025 0.535
B 0.703 0.494 0.988
Pt 0.015 0.172 0.337
Pt 0.071 0.448 0.893
Pt 0.529 0.641 0.778
Pt 0.530 0.139 0.778
Pt 0.530 0.302 0.119
Pt 0.533 0.817 0.119
Pt 0.558 0.478 0.444
Pt 0.559 0.974 0.445
Pt 0.998 0.832 0.661

---

# 8
Material: Ba3Cr5
Method: DFT, PBE
State: relaxed

Computed properties:
**Total magnetization**: 2.924 μB/atom
**Calculated formation energy**: 110.1 kJ per mole of atoms

a b c (Å): 10.883 10.883 5.387
angles (deg): 90.00 90.00 120.00
Sites, in units of the cell vectors:
Ba 0.000 0.363 0.250
Ba 0.000 0.637 0.750
Ba 0.363 0.000 0.250
Ba 0.363 0.363 0.750
Ba 0.637 0.000 0.750
Ba 0.637 0.637 0.250
Cr 0.000 0.153 0.750
Cr 0.000 0.847 0.250
Cr 0.153 0.000 0.750
Cr 0.153 0.153 0.250
Cr 0.333 0.667 0.000
Cr 0.333 0.667 0.500
Cr 0.667 0.333 0.000
Cr 0.667 0.333 0.500
Cr 0.847 0.000 0.250
Cr 0.847 0.847 0.750

---

# 9
Material: BaCd2Sb
Method: DFT, PBE
State: relaxed

Computed properties:
**Formation energy without anion corrections**: -317 meV/atom
**Total magnetization**: 0.000 μB/atom

a b c (Å): 5.648 5.648 5.648
angles (deg): 60.00 60.00 60.00
Sites, in units of the cell vectors:
Ba 0.000 0.000 0.000
Cd 0.500 0.500 0.500
Cd 0.750 0.750 0.750
Sb 0.250 0.250 0.250

---

# 10
Material: FeMoHRu2
Method: DFT, PBE
State: relaxed

Computed properties:
**Distance to the lowest polymorph of the same formula**: 0.00 eV per formula unit
**Total magnetization**: 0.139 μB/atom

a b c (Å): 3.872 3.872 3.763
angles (deg): 90.00 90.00 90.00
Sites, in units of the cell vectors:
Fe 0.000 0.000 0.000
Mo 0.500 0.500 0.000
H 0.000 0.000 0.500
Ru 0.000 0.500 0.500
Ru 0.500 0.000 0.500

---

# 11
Material: KBaSiRu2
Method: DFT, PBE
State: relaxed

Computed properties:
**Formation energy without anion corrections**: 2109 meV/atom
**Total magnetization**: 0.163 μB/atom

a b c (Å): 5.096 5.096 5.811
angles (deg): 90.00 90.00 90.00
Sites, in units of the cell vectors:
K 0.000 0.000 0.000
Ba 0.000 0.000 0.500
Si 0.500 0.500 0.000
Ru 0.000 0.500 0.500
Ru 0.500 0.000 0.500

---

# 12
Material: Ca3ReO6
Method: DFT, PBE
State: relaxed

Computed properties:
**Distance to the lowest polymorph of the same formula**: 0.00 eV per formula unit
**Formation energy without anion corrections**: -2524 meV/atom
**Total magnetization**: 0.101 μB/atom

a b c (Å): 6.578 6.578 6.578
angles (deg): 91.81 91.81 91.81
Sites, in units of the cell vectors:
Ca 0.065 0.755 0.568
Ca 0.245 0.432 0.935
Ca 0.432 0.935 0.245
Ca 0.568 0.065 0.755
Ca 0.755 0.568 0.065
Ca 0.935 0.245 0.432
Re 0.000 0.000 0.000
Re 0.500 0.500 0.500
O 0.048 0.717 0.922
O 0.078 0.952 0.283
O 0.218 0.432 0.561
O 0.283 0.078 0.952
O 0.432 0.561 0.218
O 0.439 0.782 0.568
O 0.561 0.218 0.432
O 0.568 0.439 0.782
O 0.717 0.922 0.048
O 0.782 0.568 0.439
O 0.922 0.048 0.717
O 0.952 0.283 0.078

---

Which value of total magnetization does entry 2 give? 0.000 μB/atom

---

Among the records above, which one has the highest total magnetization? Ba3Cr5